Material: K3SrSc
Method: DFT, PBE-GGA
State: optimized geometry

CIF file:
```
data_K3SrSc
_chemical_formula_sum 'K3 Sr1 Sc1'
_cell_length_a 7.3903
_cell_length_b 7.3903
_cell_length_c 7.3903
_cell_angle_alpha 90.00
_cell_angle_beta 90.00
_cell_angle_gamma 90.00
_symmetry_space_group_name_H-M 'P m -3 m'
_symmetry_Int_Tables_number 221
_symmetry_space_group_name_Hall '-P 4 2 3'
loop_
_atom_site_label
_atom_site_type_symbol
_atom_site_fract_x
_atom_site_fract_y
_atom_site_fract_z
K1 K 0.0000 0.0000 0.5000
Sr1 Sr 0.0000 0.0000 0.0000
Sc1 Sc 0.5000 0.5000 0.5000
```

The value obtained for the distance to the lowest polymorph of the same formula is 0.2884 eV/atom. The total magnetization is 2.0 μB per cell. For the formation energy, the calculation gives 103 kJ/mol of atoms. As for the density of states at the Fermi level: 10.07 states/eV per atom.